A relaxed MnInPd3 crystal. Source: the Alexandria database, functional GGA-PBEsol.

Cell and atoms, written as extended XYZ:
```
5
Lattice="4.586 0.000 0.000 0.000 4.586 0.000 0.000 0.000 4.586" Properties=species:S:1:pos:R:3 pbc="T T T"
Mn 0.000 0.000 0.000
In 2.293 2.293 2.293
Pd 0.000 0.000 2.293
Pd 0.000 2.293 0.000
Pd 2.293 0.000 0.000
```

The density of states at the Fermi level is 3.060 states/eV/f.u.

=====

A relaxed La3AlSb crystal. Source: the Alexandria database, functional GGA-PBEsol.

Cell and atoms, written as extended XYZ:
```
5
Lattice="5.891 0.000 0.000 0.000 5.891 0.000 0.000 0.000 5.891" Properties=species:S:1:pos:R:3 pbc="T T T"
La 0.000 0.000 2.945
La 0.000 2.945 0.000
La 2.945 0.000 0.000
Al 2.945 2.945 2.945
Sb 0.000 0.000 0.000
```

The density of states at the Fermi level is 4.172 states/eV/f.u. The value obtained for the uncorrected formation energy is 68 meV per atom.

=====

A relaxed CaYTa2 crystal. Source: the Alexandria database, functional GGA-PBEsol.

Cell and atoms, written as extended XYZ:
```
4
Lattice="2.930 0.000 0.000 0.000 5.097 0.000 -0.053 0.000 5.920" Properties=species:S:1:pos:R:3 pbc="T T T"
Ca 0.000 0.000 0.000
Y -0.026 0.000 2.960
Ta 1.424 2.548 4.375
Ta 1.454 2.548 1.545
```

The density of states at the Fermi level is 5.034 states/eV/f.u.

=====

A relaxed NaSr2In2 crystal. Source: the Alexandria database, functional GGA-PBEsol.

Cell and atoms, written as extended XYZ:
```
10
Lattice="9.265 0.000 0.000 0.000 9.265 0.000 0.000 0.000 3.982" Properties=species:S:1:pos:R:3 pbc="T T T"
Na 0.000 0.000 0.000
Na 4.633 4.633 0.000
Sr 1.656 2.976 1.991
Sr 2.976 7.609 1.991
Sr 6.289 1.656 1.991
Sr 7.609 6.289 1.991
In 1.076 5.709 0.000
In 3.557 1.076 0.000
In 5.709 8.189 0.000
In 8.189 3.557 0.000
```

The density of states at the Fermi level is 2.851 states/eV/f.u.

=====

A relaxed SrHg2W crystal. Source: the Alexandria database, functional GGA-PBEsol.

Cell and atoms, written as extended XYZ:
```
4
Lattice="0.000 3.572 3.572 3.572 0.000 3.572 3.572 3.572 0.000" Properties=species:S:1:pos:R:3 pbc="T T T"
Sr 0.000 0.000 0.000
Hg 1.786 1.786 1.786
Hg 5.358 5.358 5.358
W 3.572 3.572 3.572
```

The energy above the most stable polymorph in this dataset comes out at 9.90 kJ/mol of atoms. The density of states at the Fermi level is 2.526 states/eV/f.u.

=====

A relaxed KNi2H3Se2O10 crystal. Source: the Alexandria database, functional GGA-PBEsol.

Cell and atoms, written as extended XYZ:
```
18
Lattice="4.477 -3.164 0.000 4.477 3.164 0.000 -3.103 0.000 6.954" Properties=species:S:1:pos:R:3 pbc="T T T"
K 0.000 0.000 0.000
Ni 0.672 1.568 3.487
Ni 0.672 -1.568 3.487
H -0.555 0.000 5.004
H 6.397 0.000 1.927
H 7.309 0.000 3.414
Se 3.082 0.000 1.534
Se 2.760 0.000 5.425
O -0.452 0.000 4.020
O 1.898 1.384 5.049
O -0.415 0.000 6.897
O 1.635 0.000 2.469
O 3.946 1.384 1.909
O 1.898 -1.384 5.049
O 4.208 0.000 4.491
O 6.262 0.000 0.064
O 3.946 -1.384 1.909
O 6.291 0.000 2.913
```

=====

A relaxed Cd3P2 crystal. Source: the Alexandria database, functional GGA-PBEsol.

Cell and atoms, written as extended XYZ:
```
5
Lattice="2.018 1.165 7.306 -2.018 1.165 7.306 0.000 -2.330 7.306" Properties=species:S:1:pos:R:3 pbc="T T T"
Cd 0.000 0.000 0.000
Cd 0.000 0.000 4.638
Cd 0.000 0.000 17.282
P 0.000 0.000 8.856
P 0.000 0.000 13.063
```

The energy above the most stable polymorph in this dataset comes out at 19.02 kJ/mol of atoms. The density of states at the Fermi level is 2.266 states/eV/f.u.

=====

A relaxed MgTl2In crystal. Source: the Alexandria database, functional GGA-PBEsol.

Cell and atoms, written as extended XYZ:
```
4
Lattice="-1.870 2.670 5.166 1.870 -2.670 5.166 1.870 2.670 -5.166" Properties=species:S:1:pos:R:3 pbc="T T T"
Mg 0.000 0.000 0.000
Tl 1.870 0.000 2.518
Tl 0.000 2.670 2.648
In 0.000 0.000 5.166
```

The density of states at the Fermi level is 1.871 states/eV/f.u.

=====

So what do the calculations give for uncorrected energy? Going down the list: -27.70, -24.35, -31.40, -25.13, -14.14, -99.91, -14.27, -9.98 eV/cell.
So what do the calculations give for ρ? Going down the list: 8.42, 4.59, 9.22, 4.16, 12.25, 4.02, 6.43, 8.82 g cm⁻³.